Entry 1:
Entry from the Alexandria database: a relaxed structure of Ba3Be (PBE).

## Properties
The energy relative to the lowest polymorph listed for this composition comes out at 270 meV per atom. The calculated formation energy is 49.8 kJ/mol of atoms. The density is 3.8 g/cm³.

abc: 4.884 5.858 6.393
angles: 90.00 90.00 90.00
Space group Pmm2 (No. 25)
One atom of each set of equivalent atoms:
Ba (0.000, 0.000, 0.000) (multiplicity 1)
Ba (0.000, 0.500, 0.486) (multiplicity 1)
Ba (0.500, 0.000, 0.530) (multiplicity 1)
Be (0.500, 0.500, 0.871) (multiplicity 1)


Entry 2:
Entry from the Alexandria database: a relaxed structure of BaBe (PBE).

## Properties
The energy relative to the lowest polymorph listed for this composition comes out at 360 meV per atom. The calculated formation energy is 69.5 kJ/mol of atoms. The density is 3.6 g/cm³.

abc: 4.1171 4.1171 9.3260
angles: 90.00 90.00 120.00
Space group P-3m1 (No. 164)
One atom of each set of equivalent atoms:
Ba (0.3333, 0.6667, 0.2072) (multiplicity 2)
Be (0.3333, 0.6667, 0.5348) (multiplicity 2)


Entry 3:
Entry from the Alexandria database: a relaxed structure of BaBe (PBE).

## Properties
The energy relative to the lowest polymorph listed for this composition comes out at 688 meV per atom. The calculated formation energy is 101.1 kJ/mol of atoms. The density is 2.7 g/cm³.

abc: 5.5911 5.5911 6.6735
angles: 90.00 90.00 120.00
Space group P6_3/mmc (No. 194)
One atom of each set of equivalent atoms:
Ba (0.3333, 0.6667, 0.2500) (multiplicity 2)
Be (0.3333, 0.6667, 0.7500) (multiplicity 2)


Entry 4:
Entry from the Alexandria database: a relaxed structure of BaBe2 (PBE).

## Properties
The energy relative to the lowest polymorph listed for this composition comes out at 351 meV per atom. The calculated formation energy is 64.3 kJ/mol of atoms. The density is 3.2 g/cm³.

abc: 6.212 6.212 4.199
angles: 90.00 90.00 90.00
Space group I4/mmm (No. 139)
One atom of each set of equivalent atoms:
Ba (0.000, 0.000, 0.000) (multiplicity 2)
Be (0.000, 0.500, 0.250) (multiplicity 4)


Entry 5:
Entry from the Alexandria database: a relaxed structure of BaBe (PBE).

## Properties
The energy relative to the lowest polymorph listed for this composition comes out at 365 meV per atom. The calculated formation energy is 70.0 kJ/mol of atoms. The density is 4.0 g/cm³.

abc: 5.8791 5.8791 8.1318
angles: 90.00 90.00 120.00
Space group P6_3/mmc (No. 194)
One atom of each set of equivalent atoms:
Ba (0.0000, 0.0000, 0.2500) (multiplicity 2)
Ba (0.3333, 0.6667, 0.2500) (multiplicity 2)
Be (0.3333, 0.6667, 0.6239) (multiplicity 4)


Entry 6:
Entry from the Alexandria database: a relaxed structure of Ba3Be (PBE).

## Properties
The energy relative to the lowest polymorph listed for this composition comes out at 357 meV per atom. The calculated formation energy is 58.2 kJ/mol of atoms. The density is 3.9 g/cm³.

abc: 11.8944 11.8944 4.3491
angles: 90.00 90.00 120.00
Space group R-3m (No. 166, hexagonal axes)
One atom of each set of equivalent atoms:
Ba (0.0000, 0.5000, 0.0000) (multiplicity 9)
Be (0.0000, 0.0000, 0.0000) (multiplicity 3)


Entry 7:
Entry from the Alexandria database: a relaxed structure of BaBe2 (PBE).

## Properties
The energy relative to the lowest polymorph listed for this composition comes out at 0 meV per atom. The calculated formation energy is 30.4 kJ/mol of atoms. The density is 3.5 g/cm³.

abc: 3.958 19.229 3.926
angles: 90.00 90.00 90.00
Space group Cmcm (No. 63)
One atom of each set of equivalent atoms:
Ba (0.000, 0.111, 0.250) (multiplicity 4)
Be (0.000, 0.249, 0.750) (multiplicity 4)
Be (0.000, 0.293, 0.250) (multiplicity 4)


Entry 8:
Entry from the Alexandria database: a relaxed structure of BaBe2 (PBE).

## Properties
The energy relative to the lowest polymorph listed for this composition comes out at 198 meV per atom. The calculated formation energy is 49.5 kJ/mol of atoms. The density is 4.3 g/cm³.

abc: 4.596 4.596 11.343
angles: 90.00 90.00 90.00
Space group I4/mcm (No. 140)
One atom of each set of equivalent atoms:
Ba (0.000, 0.000, 0.250) (multiplicity 4)
Be (0.162, 0.338, 0.000) (multiplicity 8)


Question: Look up the calculated formation energy of the fifth one.
Answer: 70.0 kJ/mol of atoms


Question: Which formula does entry 8 have?
Answer: BaBe2


Question: The lowest energy relative to the lowest polymorph listed for this composition belongs to which entry?
Answer: number 7